The following is a PBEsol calculation of a relaxed SmMn5Co7 crystal, from Alexandria via LeMat-Bulk.

a b c (Å): 4.5297 6.2307 6.2307
angles (deg): 81.89 68.69 68.69
Closest atoms and distances in Å follow each position.
Fractional positions:
1 Mn 0.5010 0.9979 0.5021  3 Mn 2.26-2.32, 7 Co 2.36-2.52
2 Mn 0.9990 0.5021 0.9979  3 Mn 2.26-2.32, 7 Co 2.36-2.52
3 Mn 0.7347 0.7653 0.7653  4 Mn 2.32, 4 Co 2.49-2.50
4 Mn 0.5010 0.5021 0.9979  3 Mn 2.26-2.32, 7 Co 2.36-2.52
5 Mn 0.9990 0.9979 0.5021  3 Mn 2.26-2.32, 7 Co 2.36-2.52
6 Co 0.4990 0.7728 0.2291  4 Mn 2.36, 4 Co 2.50
7 Co 0.0024 0.6407 0.3545  4 Co 2.34-2.50, 5 Mn 2.50-2.52
8 Co 0.3593 0.6407 0.6407  3 Co 2.31-2.50, 6 Mn 2.49
9 Co 0.2678 0.2322 0.2322  4 Mn 2.36, 4 Co 2.48-2.50
10 Co 0.0024 0.3545 0.6407  4 Co 2.34-2.50, 5 Mn 2.50-2.52
11 Co 0.4990 0.2291 0.7728  4 Mn 2.36, 4 Co 2.50
12 Co 0.6392 0.3608 0.3608  5 Co 2.31-2.50, 4 Mn 2.52
13 Sm 0.9961 0.0039 0.0039  10 Co 2.91-3.00, 10 Mn 3.00-3.13

Computed properties:
ρ: 9.11 g/cm3
energy of formation: 52 meV per atom
M_tot: 9.92 μB/cell